Record 1
! NaMg2Zn2 | the Alexandria database | PBE-GGA | relaxed; values from VASP
&SYSTEM
  ibrav = 0, nat = 10, ntyp = 3
/
ATOMIC_SPECIES
Na 22.99 Na.upf
Mg 24.30 Mg.upf
Zn 65.41 Zn.upf
ATOMIC_POSITIONS angstrom
Na 0.000 0.000 0.000
Na 4.070 4.070 0.000
Mg 1.429 2.641 1.553
Mg 2.641 6.711 1.553
Mg 5.500 1.429 1.553
Mg 6.711 5.500 1.553
Zn 0.962 5.033 0.000
Zn 3.108 0.962 0.000
Zn 5.033 7.179 0.000
Zn 7.179 3.108 0.000
CELL_PARAMETERS angstrom
8.141 0.000 0.000
0.000 8.141 0.000
0.000 0.000 3.105
! - Magnetization: 0.000 μB/atom
! - Volume: 205.8 Å³/cell
! - Energy above the most stable polymorph in this dataset: 0.00 kcal/mol of atoms
! - Energy of formation from the pure elements: -29.0 meV per atom

=====

Record 2
! Pm4Te2RuSe | the Alexandria database | PBE-GGA | relaxed; values from VASP
&SYSTEM
  ibrav = 0, nat = 8, ntyp = 4
/
ATOMIC_SPECIES
Pm 145.00 Pm.upf
Te 127.60 Te.upf
Ru 101.07 Ru.upf
Se 78.96 Se.upf
ATOMIC_POSITIONS angstrom
Pm 1.199 0.000 1.563
Pm -0.049 2.120 5.743
Pm 5.232 2.120 1.571
Pm 3.984 0.000 5.750
Te -1.169 0.000 3.657
Te 2.591 2.120 3.657
Ru 0.000 2.120 0.000
Se 3.761 0.000 0.000
CELL_PARAMETERS angstrom
7.521 0.000 0.000
0.000 4.240 0.000
-2.339 0.000 7.314
! - Magnetization: 0.000 μB/atom
! - Volume: 233.2 Å³/cell
! - DFT total energy: -47.619 eV per cell

=====

Record 3
! Pr3Tm | the Alexandria database | PBE-GGA | relaxed; values from VASP
&SYSTEM
  ibrav = 0, nat = 4, ntyp = 2
/
ATOMIC_SPECIES
Pr 140.91 Pr.upf
Tm 168.93 Tm.upf
ATOMIC_POSITIONS angstrom
Pr 0.000 0.000 0.000
Pr 2.594 0.000 2.573
Pr 0.000 2.594 2.573
Tm 0.000 0.000 5.145
CELL_PARAMETERS angstrom
-2.594 2.594 5.145
2.594 -2.594 5.145
2.594 2.594 -5.145
! - Magnetization: 0.000 μB/atom
! - Volume: 138.5 Å³/cell
! - Energy above the most stable polymorph in this dataset: 0.09 kcal/mol of atoms
! - Energy of formation from the pure elements: 17.0 meV per atom